1.
The following is a DFT calculation (GGA-PBE) of Y2ScTl after structural relaxation.

abc: 8.578 8.578 6.866
angles: 51.34 51.34 90.00
Element x y z (fractional)
Y 0.648 0.125 0.250
Y 0.102 0.625 0.250
Y 0.375 0.352 0.750
Y 0.875 0.898 0.750
Sc 0.500 0.500 0.000
Sc 0.250 0.750 0.500
Tl 0.000 0.000 0.000
Tl 0.750 0.250 0.500

Summary:
- DOS at the Fermi energy (states/eV/f.u.) = 7.573
- crystal system = tetragonal
- formation energy from the elements (meV per atom) = 165
- calculated volume (Å³ per atom) = 29.6
- energy above the most stable polymorph in this dataset (meV/atom) = 358.1
- symmetry = I-42d

2.
The following is a DFT calculation (GGA-PBE) of Y2ScTl after structural relaxation.

abc: 5.354 5.354 3.867
angles: 90.00 90.00 90.00
Element x y z (fractional)
Sc 0.500 0.000 0.500
Tl 0.000 0.500 0.500
Y 0.000 0.000 0.000
Y 0.500 0.500 0.000

Summary:
- DOS at the Fermi energy (states/eV/f.u.) = 6.211
- crystal system = tetragonal
- formation energy from the elements (meV per atom) = -120
- calculated volume (Å³ per atom) = 27.7
- energy above the most stable polymorph in this dataset (meV/atom) = 73.0
- symmetry = P4/mmm

3.
The following is a DFT calculation (GGA-PBE) of YSc5Tl3 after structural relaxation.

abc: 7.950 7.950 9.169
angles: 115.69 115.69 90.00
Element x y z (fractional)
Y 0.750 0.250 0.500
Y 0.250 0.750 0.500
Sc 0.077 0.577 0.717
Sc 0.640 0.140 0.717
Sc 0.140 0.077 0.717
Sc 0.577 0.640 0.717
Sc 0.923 0.423 0.283
Sc 0.360 0.860 0.283
Sc 0.860 0.923 0.283
Sc 0.423 0.360 0.283
Sc 0.500 0.500 0.000
Sc 0.000 0.000 0.000
Tl 0.621 0.121 0.000
Tl 0.379 0.879 0.000
Tl 0.879 0.621 0.000
Tl 0.121 0.379 0.000
Tl 0.250 0.250 0.500
Tl 0.750 0.750 0.500

Summary:
- DOS at the Fermi energy (states/eV/f.u.) = 12.808
- crystal system = tetragonal
- formation energy from the elements (meV per atom) = 86
- calculated volume (Å³ per atom) = 25.4
- energy above the most stable polymorph in this dataset (meV/atom) = 355.0
- symmetry = I4/mcm

4.
The following is a DFT calculation (GGA-PBE) of Y2ScTl after structural relaxation.

abc: 3.565 3.565 8.850
angles: 90.00 90.00 90.01
Element x y z (fractional)
Y 0.000 0.000 0.976
Y 0.500 0.500 0.266
Sc 0.000 0.000 0.525
Tl 0.500 0.500 0.733

Summary:
- DOS at the Fermi energy (states/eV/f.u.) = 4.978
- crystal system = tetragonal
- formation energy from the elements (meV per atom) = -157
- calculated volume (Å³ per atom) = 28.1
- energy above the most stable polymorph in this dataset (meV/atom) = 36.6
- symmetry = P4mm

5.
The following is a DFT calculation (GGA-PBE) of Y2ScTl after structural relaxation.

abc: 6.522 6.522 5.300
angles: 66.02 66.02 33.37
Element x y z (fractional)
Y 0.977 0.977 0.023
Y 0.755 0.755 0.745
Sc 0.528 0.528 0.472
Tl 0.240 0.240 0.260

Summary:
- DOS at the Fermi energy (states/eV/f.u.) = 3.669
- crystal system = orthorhombic
- formation energy from the elements (meV per atom) = -189
- calculated volume (Å³ per atom) = 28.1
- energy above the most stable polymorph in this dataset (meV/atom) = 4.2
- symmetry = Imm2

6.
The following is a DFT calculation (GGA-PBE) of Y2ScTl after structural relaxation.

abc: 5.059 3.582 6.485
angles: 73.93 90.00 90.00
Element x y z (fractional)
Y 0.000 0.959 0.957
Y 0.500 0.292 0.291
Sc 0.000 0.692 0.492
Tl 0.500 0.557 0.760

Summary:
- DOS at the Fermi energy (states/eV/f.u.) = 5.920
- crystal system = orthorhombic
- formation energy from the elements (meV per atom) = -166
- calculated volume (Å³ per atom) = 28.2
- energy above the most stable polymorph in this dataset (meV/atom) = 27.5
- symmetry = Amm2